A plane-wave DFT calculation with PBE+U was carried out for a relaxed structure of Na3Cr3CuO8.

Unit cell a=5.9872 b=5.9872 c=6.4298 alpha=117.71 beta=117.71 gamma=60.36
Last column: nearest neighbours and their distance in Å.
Atoms (fractional coordinates):
Na (0.0000, 0.0000, 0.0000)  6 O 2.37-2.42
Na (0.0000, 0.5000, 0.0000)  6 O 2.39-2.41
Na (0.5000, 0.0000, 0.0000)  6 O 2.39-2.41
Cr (0.0000, 0.5000, 0.5000)  6 O 2.01-2.04
Cr (0.5000, 0.0000, 0.5000)  6 O 2.01-2.04
Cr (0.5000, 0.5000, 0.5000)  6 O 2.01-2.04
Cu (0.0000, 0.0000, 0.5000)  6 O 1.94-2.03
O (0.2226, 0.2226, 0.6859)  1 Cu 1.94, 2 Cr 2.03
O (0.2322, 0.7287, 0.6914)  2 Cr 2.01, 1 Cu 2.03
O (0.2668, 0.2668, 0.3020)  3 Cr 2.04
O (0.2713, 0.7678, 0.3086)  2 Cr 2.01, 1 Cu 2.03
O (0.7287, 0.2322, 0.6914)  2 Cr 2.01, 1 Cu 2.03
O (0.7332, 0.7332, 0.6980)  3 Cr 2.04
O (0.7678, 0.2713, 0.3086)  2 Cr 2.01, 1 Cu 2.03
O (0.7774, 0.7774, 0.3141)  1 Cu 1.94, 2 Cr 2.03

- E_tot: -94.19 eV per cell
- Size of the total moment: 0.518 μB per atom
- N(E_F): 0.32 states/eV/atom